First-principles (PBE-GGA) data for a relaxed Ba2AcAl2As4 crystal, as listed in Alexandria.

E_form = -0.94 eV/atom

a b c (Å): 8.406 8.406 7.840
angles (deg): 110.07 110.07 30.95
Positions (direct):
Ba  0.132  0.132  0.066
Ba  0.868  0.868  0.934
Ac  0.000  0.000  0.500
Al  0.323  0.323  0.509
Al  0.677  0.677  0.491
As  0.211  0.211  0.674
As  0.471  0.471  0.758
As  0.529  0.529  0.242
As  0.789  0.789  0.326